Entry 1:
Below is an optimized crystal structure of Sm2Dy3Cd6, with properties calculated at the GGA-PBE level.

## Properties
energy relative to the elements: 0.097 eV/atom
ρ: 7.0 g/cm³

abc: 14.392 14.392 14.392
angles: 160.00 160.00 28.43
Fractional positions:
1 Sm 0.135 0.135 0.000
2 Sm 0.865 0.865 0.000
3 Dy 0.365 0.365 0.000
4 Dy 0.500 0.500 0.000
5 Dy 0.635 0.635 0.000
6 Cd 0.064 0.564 0.500
7 Cd 0.251 0.251 0.000
8 Cd 0.436 0.936 0.500
9 Cd 0.564 0.064 0.500
10 Cd 0.749 0.749 0.000
11 Cd 0.936 0.436 0.500



Entry 2:
Below is an optimized crystal structure of La2NdRh2I2, with properties calculated at the GGA-PBE level.

## Properties
ρ: 6.3 g/cm³
raw formation energy: -0.733 eV per atom

abc: 5.228 5.228 16.949
angles: 90.00 90.00 90.00
Fractional positions:
1 La 0.000 0.000 0.106
2 La 0.000 0.000 0.894
3 La 0.500 0.500 0.394
4 La 0.500 0.500 0.606
5 Nd 0.000 0.000 0.500
6 Nd 0.500 0.500 0.000
7 Rh 0.000 0.500 0.000
8 Rh 0.000 0.500 0.500
9 Rh 0.500 0.000 0.000
10 Rh 0.500 0.000 0.500
11 I 0.000 0.000 0.306
12 I 0.000 0.000 0.694
13 I 0.500 0.500 0.194
14 I 0.500 0.500 0.806



Entry 3:
Below is an optimized crystal structure of TaInP2, with properties calculated at the GGA-PBE level.

## Properties
energy relative to the elements: 0.227 eV/atom
ρ: 8.8 g/cm³

abc: 6.111 6.693 3.298
angles: 90.00 90.00 90.00
Fractional positions:
1 Ta 0.000 0.000 0.000
2 Ta 0.500 0.500 0.000
3 In 0.000 0.500 0.000
4 In 0.500 0.000 0.000
5 P 0.250 0.250 0.500
6 P 0.250 0.750 0.500
7 P 0.750 0.250 0.500
8 P 0.750 0.750 0.500



Entry 4:
Below is an optimized crystal structure of Li4Cd6Hg, with properties calculated at the GGA-PBE level.

## Properties
energy relative to the elements: -0.088 eV/atom
ρ: 6.1 g/cm³

abc: 8.432 8.432 8.432
angles: 140.14 140.14 57.64
Fractional positions:
1 Li 0.029 0.647 0.000
2 Li 0.353 0.353 0.382
3 Li 0.647 0.029 0.000
4 Li 0.971 0.971 0.618
5 Cd 0.000 0.500 0.500
6 Cd 0.167 0.167 0.630
7 Cd 0.463 0.833 0.000
8 Cd 0.500 0.000 0.500
9 Cd 0.537 0.537 0.370
10 Cd 0.833 0.463 0.000
11 Hg 0.000 0.000 0.000



> Number 4 is which compound?

Li4Cd6Hg



> The highest ρ belongs to which entry?

TaInP2



> Among the records above, which one has the highest ρ?

TaInP2



> Look up the ρ of the first one.

7.0 g/cm³